w:
4
Lattice="0.000 3.181 3.181 3.181 0.000 3.181 3.181 3.181 0.000" Properties=species:S:1:pos:R:3 comment="HfGa2Re PBE optimized geometry" sg=Fm-3m pbc="T T T"
Ga 1.591 1.591 1.591
Ga 4.772 4.772 4.772
Hf 0.000 0.000 0.000
Re 3.181 3.181 3.181

---

x:
8
Lattice="-0.578 2.586 2.842 -3.057 -2.051 1.245 3.966 -4.825 7.854" Properties=species:S:1:pos:R:3 comment="HfGa2Re PBE optimized geometry" sg=I-42d pbc="T T T"
Hf -0.454 -3.304 5.571
Hf -1.817 0.268 2.043
Re 0.786 -0.986 6.370
Re 0.000 0.000 0.000
Ga -0.260 -3.187 9.488
Ga 0.238 0.200 3.946
Ga -0.981 -2.211 3.046
Ga 1.666 -3.382 7.401

---

Which one is most stable, and which one is least stable? w is the most stable of them, while x is the least stable.

---

w:
4
Lattice="3.265 0.000 0.000 0.000 3.265 0.000 0.000 0.000 6.301" Properties=species:S:1:pos:R:3 comment="HfTiGaRe PBE optimized geometry" sg=P4mm pbc="T T T"
Hf 0.000 0.000 5.466
Re 1.632 1.632 0.780
Ga 1.632 1.632 3.695
Ti 0.000 0.000 2.207

---

x:
4
Lattice="4.566 0.000 0.000 2.283 3.955 0.000 2.283 1.318 3.728" Properties=species:S:1:pos:R:3 comment="HfTiGaRe PBE optimized geometry" sg=F-43m pbc="T T T"
Hf 0.000 0.000 0.000
Re 2.283 1.318 0.932
Ti 4.566 2.636 1.864
Ga 6.850 3.955 2.796

---

Which one is most stable, and which one is least stable? w is the most stable of them, while x is the least stable.

---

w:
5
Lattice="-3.065 2.384 3.220 1.583 -3.003 3.731 3.680 3.278 1.077" Properties=species:S:1:pos:R:3 comment="HfGa3Rh PBE optimized geometry" sg=Pm-3m pbc="T T T"
Hf 0.000 0.000 0.000
Ga 0.792 -1.502 1.865
Ga 1.840 1.639 0.538
Ga -1.533 1.192 1.610
Rh 1.099 1.329 4.014

---

x:
20
Lattice="-0.029 1.541 5.245 1.545 -6.832 2.016 7.856 2.508 -0.693" Properties=species:S:1:pos:R:3 comment="HfGa3Rh PBE optimized geometry" sg=P2_1/c pbc="T T T"
Ga 6.887 3.222 2.862
Ga 5.718 -2.046 1.355
Ga 1.717 -2.862 1.771
Ga 4.939 1.750 1.641
Ga 6.666 0.081 2.269
Ga 7.447 -3.785 1.747
Ga 7.654 0.078 4.796
Ga 1.924 1.001 4.821
Ga 2.705 -2.864 4.299
Ga 3.653 -0.737 5.213
Ga 2.484 -6.005 3.706
Ga 4.432 -4.534 4.927
Rh 8.446 -1.718 3.089
Rh 7.686 1.096 0.033
Rh 0.925 -1.065 3.479
Rh 1.685 -3.879 6.535
Hf 5.121 1.606 4.559
Hf 5.901 -2.204 4.225
Hf 4.250 -4.389 2.009
Hf 3.470 -0.579 2.343

---

y:
5
Lattice="4.678 0.000 0.000 0.000 4.678 0.000 0.000 0.000 4.678" Properties=species:S:1:pos:R:3 comment="HfGa3Rh PBE optimized geometry" sg=Pm-3m pbc="T T T"
Rh 0.000 0.000 0.000
Ga 2.339 0.000 0.000
Ga 0.000 2.339 0.000
Ga 0.000 0.000 2.339
Hf 2.339 2.339 2.339

---

Which one is most stable, and which one is least stable? x is the most stable of them, while w is the least stable.

---

w:
12
Lattice="-2.606 4.134 -2.467 3.369 -1.743 -6.480 -3.398 -4.730 1.736" Properties=species:S:1:pos:R:3 comment="Hf2Ga3Rh PBE optimized geometry" sg=C2/c pbc="T T T"
Ga -1.109 2.660 -3.467
Ga -1.665 -1.579 -6.917
Ga -3.369 -0.677 -3.695
Ga -0.970 -0.760 -0.294
Ga 1.872 -0.269 -5.479
Ga 0.734 -1.662 -3.516
Rh 0.642 1.682 -6.644
Rh 0.121 0.709 -2.303
Hf -1.014 0.081 -4.845
Hf -2.708 0.968 -1.614
Hf -1.621 -2.420 -2.366
Hf 0.073 -3.307 -5.597

---

x:
12
Lattice="-0.908 3.206 2.941 0.478 -4.201 1.369 11.767 1.861 1.605" Properties=species:S:1:pos:R:3 comment="Hf2Ga3Rh PBE optimized geometry" sg=P6_3/mmc pbc="T T T"
Hf 4.361 0.690 0.595
Hf 7.405 1.171 1.010
Hf 10.245 1.620 1.398
Hf 1.522 0.241 0.208
Ga 5.642 -0.843 2.661
Ga 8.841 -0.337 3.097
Ga 11.063 2.557 3.988
Ga 2.495 1.202 2.819
Ga 5.694 1.708 3.255
Ga 0.273 -1.692 1.928
Rh 2.957 -1.267 2.294
Rh 8.379 2.132 3.621

---

Which one is most stable, and which one is least stable? x is the most stable of them, while w is the least stable.